Compound: CsGe2O4
Source: Alexandria
Functional: PBE
Structure: relaxed

## Properties
formation energy without anion corrections: -9.54 eV/f.u.
electronic total energy: -39.5 eV for the cell shown
DOS(E_F): 0.870 states/eV per cell
V: 24.775 Å³ per atom

Lattice parameters (Å, degrees): 6.300 6.300 6.300 100.26 100.26 130.08
Fractional coordinates of all 7 atoms:
Cs 0.000 0.000 0.000
Ge 0.250 0.750 0.500
Ge 0.750 0.250 0.500
O 0.161 0.501 0.662
O 0.499 0.161 0.660
O 0.501 0.839 0.340
O 0.839 0.499 0.338